Entry from Alexandria via LeMat-Bulk: a relaxed structure of Tl12In3Bi (PBE-GGA).

```
data_Tl12In3Bi
_space_group_name_H-M_alt 'P 1'
_space_group_IT_number 1
_cell_length_a 5.4179
_cell_length_b 5.4179
_cell_length_c 16.5815
_cell_angle_alpha 90.00
_cell_angle_beta 90.00
_cell_angle_gamma 90.00
loop_
_space_group_symop_operation_xyz
'x,y,z'
loop_
_atom_site_label
_atom_site_fract_x
_atom_site_fract_y
_atom_site_fract_z
Tl1 0.0000 0.0000 0.0000
Tl2 0.0000 0.0000 0.2471
Tl3 0.0000 0.0000 0.5000
Tl4 0.0000 0.0000 0.7529
Tl5 0.0000 0.5000 0.1210
Tl6 0.0000 0.5000 0.3705
Tl7 0.0000 0.5000 0.6295
Tl8 0.0000 0.5000 0.8790
Tl9 0.5000 0.0000 0.1210
Tl10 0.5000 0.0000 0.3705
Tl11 0.5000 0.0000 0.6295
Tl12 0.5000 0.0000 0.8790
In1 0.5000 0.5000 0.0000
In2 0.5000 0.5000 0.2435
In3 0.5000 0.5000 0.7565
Bi1 0.5000 0.5000 0.5000
```

Properties
V   30.42 A^3/atom
Magnetization   0.0 Bohr magnetons per cell
Mass density   10.255 g/cm3
D(E_F)   0.471 states/eV/atom
Symmetry   P4/mmm, No. 123
Energy of formation   13.6 meV per atom

---

Entry from Alexandria via LeMat-Bulk: a relaxed structure of ErSnPdPt (PBE-GGA).

```
data_ErSnPdPt
_space_group_name_H-M_alt 'P 1'
_space_group_IT_number 1
_cell_length_a 6.7692
_cell_length_b 6.7692
_cell_length_c 6.7692
_cell_angle_alpha 90.00
_cell_angle_beta 90.00
_cell_angle_gamma 90.00
loop_
_space_group_symop_operation_xyz
'x,y,z'
loop_
_atom_site_label
_atom_site_fract_x
_atom_site_fract_y
_atom_site_fract_z
Er1 0.0000 0.0000 0.0000
Er2 0.0000 0.5000 0.5000
Er3 0.5000 0.0000 0.5000
Er4 0.5000 0.5000 0.0000
Sn1 0.0000 0.0000 0.5000
Sn2 0.0000 0.5000 0.0000
Sn3 0.5000 0.0000 0.0000
Sn4 0.5000 0.5000 0.5000
Pd1 0.2500 0.2500 0.2500
Pd2 0.2500 0.7500 0.7500
Pd3 0.7500 0.2500 0.7500
Pd4 0.7500 0.7500 0.2500
Pt1 0.2500 0.2500 0.7500
Pt2 0.2500 0.7500 0.2500
Pt3 0.7500 0.2500 0.2500
Pt4 0.7500 0.7500 0.7500
```

Properties
V   19.39 A^3/atom
Magnetization   0.0 Bohr magnetons per cell
Mass density   12.580 g/cm3
D(E_F)   0.619 states/eV/atom
Symmetry   F-43m, No. 216
Energy of formation   -925.8 meV per atom

---

Entry from Alexandria via LeMat-Bulk: a relaxed structure of TcP3Ir (PBE-GGA).

```
data_TcP3Ir
_space_group_name_H-M_alt 'P 1'
_space_group_IT_number 1
_cell_length_a 4.5171
_cell_length_b 4.5171
_cell_length_c 4.5171
_cell_angle_alpha 90.00
_cell_angle_beta 90.00
_cell_angle_gamma 90.00
loop_
_space_group_symop_operation_xyz
'x,y,z'
loop_
_atom_site_label
_atom_site_fract_x
_atom_site_fract_y
_atom_site_fract_z
Tc1 0.0000 0.0000 0.0000
P1 0.0000 0.0000 0.5000
P2 0.0000 0.5000 0.0000
P3 0.5000 0.0000 0.0000
Ir1 0.5000 0.5000 0.5000
```

Properties
V   18.43 A^3/atom
Magnetization   0.0 Bohr magnetons per cell
Energy above the lowest structure with this stoichiometry   0.000 eV/atom
Mass density   6.903 g/cm3
D(E_F)   0.548 states/eV/atom
Symmetry   Pm-3m, No. 221
Energy of formation   997.5 meV per atom

---

Entry from Alexandria via LeMat-Bulk: a relaxed structure of DyTm2Th3Bi6 (PBE-GGA).

```
data_DyTm2Th3Bi6
_space_group_name_H-M_alt 'P 1'
_space_group_IT_number 1
_cell_length_a 10.1119
_cell_length_b 10.1119
_cell_length_c 9.0192
_cell_angle_alpha 102.72
_cell_angle_beta 102.72
_cell_angle_gamma 25.89
loop_
_space_group_symop_operation_xyz
'x,y,z'
loop_
_atom_site_label
_atom_site_fract_x
_atom_site_fract_y
_atom_site_fract_z
Dy1 0.0000 0.0000 0.0000
Tm1 0.3334 0.3334 0.6674
Tm2 0.6666 0.6666 0.3326
Th1 0.0000 0.0000 0.5000
Th2 0.3342 0.3342 0.1675
Th3 0.6658 0.6658 0.8325
Bi1 0.1650 0.1650 0.0909
Bi2 0.1698 0.1698 0.5754
Bi3 0.4966 0.4966 0.7550
Bi4 0.5034 0.5034 0.2450
Bi5 0.8302 0.8302 0.4246
Bi6 0.8350 0.8350 0.9091
```

Properties
V   32.68 A^3/atom
Magnetization   0.0 Bohr magnetons per cell
Mass density   10.374 g/cm3
D(E_F)   0.553 states/eV/atom
Symmetry   C2/m, No. 12
Energy of formation   -680.7 meV per atom